# PBE PmCoB2, relaxed
# - Formation energy from the elements: -0.2830 eV per atom
# - Distance to the lowest polymorph of the same formula: 0.00 eV/f.u.
data_PmCoB2
_cell_length_a 3.4604
_cell_length_b 3.4604
_cell_length_c 14.7503
_cell_angle_alpha 90.00
_cell_angle_beta 90.00
_cell_angle_gamma 120.00
_space_group_name_H-M_alt 'R -3 m'
_space_group_IT_number 166
_space_group_name_Hall '-R 3 2"'
loop_
_atom_site_label
_atom_site_type_symbol
_atom_site_fract_x
_atom_site_fract_y
_atom_site_fract_z
_atom_site_occupancy
Pm1 Pm 0.0000 0.0000 0.0000 1
Co1 Co 0.0000 0.0000 0.5000 1
B1 B 0.0000 0.0000 0.1876 1

=====

# PBE PmCo3B, relaxed
# - Formation energy from the elements: -0.2071 eV per atom
# - Distance to the lowest polymorph of the same formula: 0.00 eV/f.u.
data_PmCo3B
_cell_length_a 4.006
_cell_length_b 4.006
_cell_length_c 4.006
_cell_angle_alpha 90.00
_cell_angle_beta 90.00
_cell_angle_gamma 90.00
_space_group_name_H-M_alt 'P m -3 m'
_space_group_IT_number 221
_space_group_name_Hall '-P 4 2 3'
loop_
_atom_site_label
_atom_site_type_symbol
_atom_site_fract_x
_atom_site_fract_y
_atom_site_fract_z
_atom_site_occupancy
Pm1 Pm 0.000 0.000 0.000 1
Co1 Co 0.000 0.500 0.500 1
B1 B 0.500 0.500 0.500 1

=====

# PBE Pm3CoB7, relaxed
# - Formation energy from the elements: -0.4042 eV per atom
data_Pm3CoB7
_cell_length_a 3.477
_cell_length_b 16.160
_cell_length_c 9.582
_cell_angle_alpha 90.00
_cell_angle_beta 90.00
_cell_angle_gamma 90.00
_space_group_name_H-M_alt 'C m c m'
_space_group_IT_number 63
_space_group_name_Hall '-C 2c 2'
loop_
_atom_site_label
_atom_site_type_symbol
_atom_site_fract_x
_atom_site_fract_y
_atom_site_fract_z
_atom_site_occupancy
Pm1 Pm 0.000 0.104 0.062 1
Pm2 Pm 0.000 0.245 0.750 1
Co1 Co 0.000 0.057 0.750 1
B1 B 0.000 0.272 0.031 1
B2 B 0.000 0.369 0.154 1
B3 B 0.000 0.466 0.750 1
B4 B 0.000 0.475 0.103 1

=====

# PBE Pm2Co3B2, relaxed
# - Formation energy from the elements: -0.1631 eV per atom
data_Pm2Co3B2
_cell_length_a 10.191
_cell_length_b 3.384
_cell_length_c 6.469
_cell_angle_alpha 90.00
_cell_angle_beta 116.78
_cell_angle_gamma 90.00
_space_group_name_H-M_alt 'C 1 2/m 1'
_space_group_IT_number 12
_space_group_name_Hall '-C 2y'
loop_
_atom_site_label
_atom_site_type_symbol
_atom_site_fract_x
_atom_site_fract_y
_atom_site_fract_z
_atom_site_occupancy
Pm1 Pm 0.129 0.000 0.269 1
Co1 Co 0.000 0.500 0.500 1
Co2 Co 0.154 0.500 0.921 1
B1 B 0.143 0.000 0.747 1

=====

# PBE PmCo6B3, relaxed
# - Formation energy from the elements: -0.2090 eV per atom
data_PmCo6B3
_cell_length_a 5.038
_cell_length_b 5.123
_cell_length_c 5.473
_cell_angle_alpha 86.51
_cell_angle_beta 64.25
_cell_angle_gamma 60.81
_space_group_name_H-M_alt 'P 1'
_space_group_IT_number 1
_space_group_name_Hall 'P 1'
loop_
_atom_site_label
_atom_site_type_symbol
_atom_site_fract_x
_atom_site_fract_y
_atom_site_fract_z
_atom_site_occupancy
Pm1 Pm 0.000 0.000 0.000 1
Co1 Co 0.205 0.427 0.672 1
Co2 Co 0.333 0.043 0.317 1
Co3 Co 0.370 0.540 0.209 1
Co4 Co 0.711 0.402 0.673 1
Co5 Co 0.718 0.886 0.608 1
Co6 Co 0.906 0.526 0.202 1
B1 B 0.410 0.246 0.936 1
B2 B 0.440 0.670 0.498 1
B3 B 0.695 0.673 0.940 1

=====

# PBE Pm3Co2B9, relaxed
# - Formation energy from the elements: -0.2140 eV per atom
data_Pm3Co2B9
_cell_length_a 3.130
_cell_length_b 7.859
_cell_length_c 13.742
_cell_angle_alpha 90.00
_cell_angle_beta 90.00
_cell_angle_gamma 90.00
_space_group_name_H-M_alt 'I m m m'
_space_group_IT_number 71
_space_group_name_Hall '-I 2 2'
loop_
_atom_site_label
_atom_site_type_symbol
_atom_site_fract_x
_atom_site_fract_y
_atom_site_fract_z
_atom_site_occupancy
Pm1 Pm 0.000 0.000 0.000 1
Pm2 Pm 0.000 0.000 0.262 1
Co1 Co 0.000 0.158 0.500 1
B1 B 0.000 0.269 0.118 1
B2 B 0.000 0.292 0.373 1
B3 B 0.000 0.500 0.000 1

=====

# PBE PmCoB2Rh, relaxed
# - Formation energy from the elements: -0.5454 eV per atom
data_PmCoB2Rh
_cell_length_a 3.712
_cell_length_b 3.712
_cell_length_c 9.903
_cell_angle_alpha 90.00
_cell_angle_beta 90.00
_cell_angle_gamma 90.00
_space_group_name_H-M_alt 'I -4 m 2'
_space_group_IT_number 119
_space_group_name_Hall 'I -4 -2'
loop_
_atom_site_label
_atom_site_type_symbol
_atom_site_fract_x
_atom_site_fract_y
_atom_site_fract_z
_atom_site_occupancy
Pm1 Pm 0.000 0.000 0.000 1
Co1 Co 0.000 0.500 0.250 1
B1 B 0.000 0.000 0.345 1
Rh1 Rh 0.000 0.500 0.750 1

=====

# PBE PmCoB2Ru, relaxed
# - Formation energy from the elements: -0.4861 eV per atom
data_PmCoB2Ru
_cell_length_a 3.786
_cell_length_b 3.786
_cell_length_c 9.769
_cell_angle_alpha 90.00
_cell_angle_beta 90.00
_cell_angle_gamma 90.00
_space_group_name_H-M_alt 'I -4 m 2'
_space_group_IT_number 119
_space_group_name_Hall 'I -4 -2'
loop_
_atom_site_label
_atom_site_type_symbol
_atom_site_fract_x
_atom_site_fract_y
_atom_site_fract_z
_atom_site_occupancy
Pm1 Pm 0.000 0.000 0.000 1
Co1 Co 0.000 0.500 0.250 1
B1 B 0.000 0.000 0.334 1
Ru1 Ru 0.000 0.500 0.750 1